(1)
# Ca3Zn2SiAu9 | Alexandria via LeMat-Bulk | PBE | optimized geometry
# VASP energy: -3.22 eV/atom
# Crystal system: trigonal
# Uncorrected formation energy: -0.33 eV/atom
# Size of the total moment: 0.0 μB/f.u.
# D(E_F): 5.292 states/eV/cell
data_Ca3Zn2SiAu9
_cell_length_a 7.760
_cell_length_b 7.760
_cell_length_c 6.614
_cell_angle_alpha 90.00
_cell_angle_beta 90.00
_cell_angle_gamma 120.00
_space_group_name_H-M_alt 'P 1'
_space_group_IT_number 1
loop_
_space_group_symop_operation_xyz
'x,y,z'
loop_
_atom_site_label
_atom_site_type_symbol
_atom_site_fract_x
_atom_site_fract_y
_atom_site_fract_z
Ca1 Ca 0.000 0.000 0.000
Ca2 Ca 0.333 0.667 0.666
Ca3 Ca 0.667 0.333 0.334
Zn1 Zn 0.333 0.667 0.176
Zn2 Zn 0.667 0.333 0.824
Si1 Si 0.000 0.000 0.500
Au1 Au 0.000 0.500 0.000
Au2 Au 0.162 0.324 0.330
Au3 Au 0.162 0.838 0.330
Au4 Au 0.324 0.162 0.670
Au5 Au 0.500 0.000 0.000
Au6 Au 0.500 0.500 0.000
Au7 Au 0.676 0.838 0.330
Au8 Au 0.838 0.162 0.670
Au9 Au 0.838 0.676 0.670

(2)
# SiNiP | Alexandria via LeMat-Bulk | PBE | optimized geometry
# VASP energy: -5.57 eV/atom
# Crystal system: triclinic
# Uncorrected formation energy: -0.03 eV/atom
# Size of the total moment: 0.0 μB/f.u.
# D(E_F): 1.418 states/eV/cell
data_SiNiP
_cell_length_a 3.516
_cell_length_b 3.539
_cell_length_c 4.289
_cell_angle_alpha 66.67
_cell_angle_beta 66.63
_cell_angle_gamma 60.86
_space_group_name_H-M_alt 'P 1'
_space_group_IT_number 1
loop_
_space_group_symop_operation_xyz
'x,y,z'
loop_
_atom_site_label
_atom_site_type_symbol
_atom_site_fract_x
_atom_site_fract_y
_atom_site_fract_z
Si1 Si 0.000 0.000 0.000
Ni1 Ni 0.216 0.220 0.358
P1 P 0.788 0.789 0.634

(3)
# CsNa2DyF6 | Alexandria via LeMat-Bulk | PBE | optimized geometry
# VASP energy: -5.23 eV/atom
# Crystal system: trigonal
# Uncorrected formation energy: -3.29 eV/atom
# Size of the total moment: 0.2 μB/f.u.
# D(E_F): 0.000 states/eV/cell
data_CsNa2DyF6
_cell_length_a 6.555
_cell_length_b 6.555
_cell_length_c 6.555
_cell_angle_alpha 56.01
_cell_angle_beta 56.01
_cell_angle_gamma 56.01
_space_group_name_H-M_alt 'P 1'
_space_group_IT_number 1
loop_
_space_group_symop_operation_xyz
'x,y,z'
loop_
_atom_site_label
_atom_site_type_symbol
_atom_site_fract_x
_atom_site_fract_y
_atom_site_fract_z
Cs1 Cs 0.000 0.000 0.000
Na1 Na 0.265 0.265 0.265
Na2 Na 0.777 0.777 0.777
Dy1 Dy 0.469 0.469 0.469
F1 F 0.081 0.575 0.480
F2 F 0.211 0.519 0.853
F3 F 0.480 0.081 0.575
F4 F 0.519 0.853 0.211
F5 F 0.575 0.480 0.081
F6 F 0.853 0.211 0.519

(4)
# LiAg4Au3 | Alexandria via LeMat-Bulk | PBE | optimized geometry
# VASP energy: -3.03 eV/atom
# Crystal system: monoclinic
# Energy above the most stable polymorph in this dataset: 21.3 meV/atom
# E_form: -0.140 eV/atom
# Size of the total moment: 0.0 μB/f.u.
# D(E_F): 1.753 states/eV/cell
data_LiAg4Au3
_cell_length_a 8.928
_cell_length_b 8.928
_cell_length_c 4.112
_cell_angle_alpha 103.04
_cell_angle_beta 103.04
_cell_angle_gamma 26.04
_space_group_name_H-M_alt 'P 1'
_space_group_IT_number 1
loop_
_space_group_symop_operation_xyz
'x,y,z'
loop_
_atom_site_label
_atom_site_type_symbol
_atom_site_fract_x
_atom_site_fract_y
_atom_site_fract_z
Li1 Li 0.000 0.000 0.000
Ag1 Ag 0.123 0.123 0.622
Ag2 Ag 0.378 0.378 0.878
Ag3 Ag 0.622 0.622 0.122
Ag4 Ag 0.877 0.877 0.378
Au1 Au 0.250 0.250 0.251
Au2 Au 0.500 0.500 0.500
Au3 Au 0.750 0.750 0.749

(5)
# TbMnAgCl6 | Alexandria via LeMat-Bulk | PBE | optimized geometry
# VASP energy: -4.54 eV/atom
# Crystal system: trigonal
# Uncorrected formation energy: -1.46 eV/atom
# Size of the total moment: 5.0 μB/f.u.
# D(E_F): 0.000 states/eV/cell
data_TbMnAgCl6
_cell_length_a 6.642
_cell_length_b 6.642
_cell_length_c 12.255
_cell_angle_alpha 90.00
_cell_angle_beta 90.00
_cell_angle_gamma 120.00
_space_group_name_H-M_alt 'P 1'
_space_group_IT_number 1
loop_
_space_group_symop_operation_xyz
'x,y,z'
loop_
_atom_site_label
_atom_site_type_symbol
_atom_site_fract_x
_atom_site_fract_y
_atom_site_fract_z
Tb1 Tb 0.333 0.667 0.250
Tb2 Tb 0.667 0.333 0.750
Mn1 Mn 0.333 0.667 0.750
Mn2 Mn 0.667 0.333 0.250
Ag1 Ag 0.000 0.000 0.000
Ag2 Ag 0.000 0.000 0.500
Cl1 Cl 0.014 0.357 0.631
Cl2 Cl 0.014 0.657 0.869
Cl3 Cl 0.343 0.357 0.869
Cl4 Cl 0.343 0.986 0.631
Cl5 Cl 0.357 0.014 0.131
Cl6 Cl 0.357 0.343 0.369
Cl7 Cl 0.643 0.657 0.631
Cl8 Cl 0.643 0.986 0.869
Cl9 Cl 0.657 0.014 0.369
Cl10 Cl 0.657 0.643 0.131
Cl11 Cl 0.986 0.343 0.131
Cl12 Cl 0.986 0.643 0.369

(6)
# Sc2CoSi2 | Alexandria via LeMat-Bulk | PBE | optimized geometry
# VASP energy: -5.84 eV/atom
# Crystal system: tetragonal
# Uncorrected formation energy: 0.28 eV/atom
# Size of the total moment: 2.7 μB/f.u.
# D(E_F): 4.192 states/eV/cell
data_Sc2CoSi2
_cell_length_a 6.363
_cell_length_b 6.363
_cell_length_c 6.363
_cell_angle_alpha 142.15
_cell_angle_beta 142.15
_cell_angle_gamma 54.60
_space_group_name_H-M_alt 'P 1'
_space_group_IT_number 1
loop_
_space_group_symop_operation_xyz
'x,y,z'
loop_
_atom_site_label
_atom_site_type_symbol
_atom_site_fract_x
_atom_site_fract_y
_atom_site_fract_z
Sc1 Sc 0.250 0.750 0.500
Sc2 Sc 0.750 0.250 0.500
Co1 Co 0.000 0.000 0.000
Si1 Si 0.403 0.403 0.000
Si2 Si 0.597 0.597 0.000